Entry 1:
## Er3AlH (PBE)

Data for a relaxed Er3AlH crystal.

* energy above the most stable polymorph in this dataset: 13 meV/atom
* space-group type: Pm-3m
* theoretical density: 8.4 g/cm³

Unit cell a=4.719 b=4.719 c=4.719 alpha=90.00 beta=90.00 gamma=90.00
Last column: magnetic moment on the atom in μB.
Fractional coordinates of all 5 atoms:
Al: 0.500 0.500 0.500  -0.01
Er: 0.500 0.000 0.000  0.26
Er: 0.000 0.500 0.000  0.26
Er: 0.000 0.000 0.500  0.26
H: 0.000 0.000 0.000  0.00


Entry 2:
## Er3Al5H12 (PBE)

Data for a relaxed Er3Al5H12 crystal.

* space-group type: Ia-3d
* VASP energy: -3.6040 eV per atom
* theoretical density: 5.2 g/cm³

Unit cell a=10.227 b=10.227 c=10.227 alpha=109.47 beta=109.47 gamma=109.47
Fractional coordinates of all 80 atoms:
H: 0.547 0.336 0.918
H: 0.664 0.453 0.582
H: 0.918 0.836 0.789
H: 0.289 0.871 0.953
H: 0.836 0.918 0.289
H: 0.918 0.082 0.629
H: 0.711 0.129 0.047
H: 0.789 0.453 0.371
H: 0.371 0.953 0.789
H: 0.789 0.336 0.918
H: 0.082 0.918 0.129
H: 0.211 0.664 0.082
H: 0.164 0.082 0.953
H: 0.082 0.918 0.371
H: 0.164 0.082 0.711
H: 0.629 0.047 0.211
H: 0.418 0.289 0.336
H: 0.418 0.047 0.336
H: 0.918 0.836 0.547
H: 0.547 0.211 0.129
H: 0.871 0.289 0.453
H: 0.871 0.582 0.918
H: 0.129 0.418 0.082
H: 0.582 0.871 0.418
H: 0.918 0.082 0.871
H: 0.711 0.582 0.164
H: 0.289 0.418 0.836
H: 0.047 0.629 0.711
H: 0.129 0.711 0.547
H: 0.371 0.418 0.082
H: 0.336 0.789 0.418
H: 0.453 0.664 0.082
H: 0.582 0.711 0.664
H: 0.082 0.164 0.453
H: 0.211 0.547 0.629
H: 0.836 0.918 0.047
H: 0.047 0.418 0.836
H: 0.453 0.789 0.871
H: 0.953 0.582 0.164
H: 0.664 0.211 0.582
H: 0.418 0.371 0.582
H: 0.418 0.129 0.582
H: 0.953 0.371 0.289
H: 0.082 0.164 0.211
H: 0.582 0.629 0.418
H: 0.582 0.953 0.664
H: 0.336 0.547 0.418
H: 0.629 0.582 0.918
Al: 0.500 0.500 0.000
Al: 0.875 0.250 0.625
Al: 0.625 0.875 0.250
Al: 0.000 0.500 0.000
Al: 0.000 0.000 0.000
Al: 0.500 0.000 0.000
Al: 0.125 0.750 0.375
Al: 0.750 0.625 0.375
Al: 0.750 0.125 0.875
Al: 0.875 0.625 0.750
Al: 0.500 0.000 0.500
Al: 0.375 0.250 0.125
Al: 0.000 0.000 0.500
Al: 0.250 0.375 0.625
Al: 0.500 0.500 0.500
Al: 0.125 0.375 0.250
Al: 0.375 0.125 0.750
Al: 0.000 0.500 0.500
Al: 0.250 0.875 0.125
Al: 0.625 0.750 0.875
Er: 0.375 0.750 0.625
Er: 0.250 0.125 0.375
Er: 0.875 0.125 0.250
Er: 0.750 0.375 0.125
Er: 0.625 0.375 0.750
Er: 0.375 0.625 0.250
Er: 0.625 0.250 0.375
Er: 0.875 0.750 0.125
Er: 0.125 0.875 0.750
Er: 0.750 0.875 0.625
Er: 0.125 0.250 0.875
Er: 0.250 0.625 0.875


Entry 3:
## Er3AlH (PBE)

Data for a relaxed Er3AlH crystal.

* energy above the most stable polymorph in this dataset: 0 meV/atom
* space-group type: P2_1/c
* theoretical density: 8.3 g/cm³

Unit cell a=6.500 b=6.116 c=10.680 alpha=91.03 beta=90.00 gamma=90.00
Fractional coordinates of all 20 atoms:
Er: 0.005 0.154 0.126
Er: 0.996 0.850 0.373
Er: 0.504 0.850 0.873
Er: 0.496 0.150 0.127
Er: 0.004 0.150 0.627
Er: 0.495 0.154 0.626
Er: 0.749 0.376 0.873
Er: 0.995 0.846 0.874
Er: 0.251 0.624 0.127
Er: 0.249 0.624 0.627
Er: 0.751 0.376 0.373
Er: 0.505 0.846 0.374
Al: 0.749 0.659 0.628
Al: 0.251 0.341 0.372
Al: 0.751 0.659 0.128
Al: 0.249 0.341 0.872
H: 0.249 0.928 0.520
H: 0.251 0.928 0.020
H: 0.751 0.072 0.480
H: 0.749 0.072 0.980


Entry 4:
## Er12Al3H5 (PBE)

Data for a relaxed Er12Al3H5 crystal.

* space-group type: Ia-3d
* VASP energy: -4.3584 eV per atom
* theoretical density: 7.9 g/cm³

Unit cell a=13.170 b=13.170 c=13.170 alpha=109.47 beta=109.47 gamma=109.47
Fractional coordinates of all 80 atoms:
Er: 0.691 0.483 0.595
Er: 0.983 0.595 0.191
Er: 0.792 0.483 0.388
Er: 0.017 0.405 0.809
Er: 0.017 0.612 0.708
Er: 0.309 0.517 0.405
Er: 0.691 0.208 0.596
Er: 0.708 0.112 0.017
Er: 0.905 0.096 0.888
Er: 0.809 0.905 0.017
Er: 0.888 0.596 0.905
Er: 0.405 0.388 0.596
Er: 0.095 0.904 0.112
Er: 0.404 0.292 0.309
Er: 0.405 0.017 0.309
Er: 0.388 0.983 0.792
Er: 0.809 0.904 0.292
Er: 0.096 0.191 0.208
Er: 0.191 0.095 0.983
Er: 0.208 0.517 0.612
Er: 0.483 0.691 0.095
Er: 0.292 0.404 0.809
Er: 0.983 0.388 0.292
Er: 0.309 0.792 0.404
Er: 0.612 0.595 0.904
Er: 0.404 0.112 0.595
Er: 0.904 0.809 0.792
Er: 0.708 0.596 0.191
Er: 0.517 0.309 0.905
Er: 0.517 0.208 0.112
Er: 0.595 0.983 0.691
Er: 0.612 0.017 0.208
Er: 0.483 0.792 0.888
Er: 0.596 0.708 0.691
Er: 0.595 0.612 0.404
Er: 0.095 0.191 0.483
Er: 0.191 0.096 0.708
Er: 0.596 0.888 0.405
Er: 0.888 0.292 0.483
Er: 0.096 0.905 0.388
Er: 0.792 0.309 0.904
Er: 0.112 0.708 0.517
Er: 0.112 0.404 0.095
Er: 0.208 0.691 0.096
Er: 0.388 0.405 0.096
Er: 0.292 0.888 0.983
Er: 0.905 0.809 0.517
Er: 0.904 0.095 0.612
H: 0.250 0.375 0.625
H: 0.750 0.625 0.375
H: 0.500 0.000 0.500
H: 0.875 0.625 0.750
H: 0.250 0.875 0.125
H: 0.375 0.125 0.750
H: 0.000 0.000 0.500
H: 0.375 0.250 0.125
H: 0.000 0.500 0.500
H: 0.000 0.500 0.000
H: 0.500 0.500 0.000
H: 0.000 0.000 0.000
H: 0.625 0.750 0.875
H: 0.500 0.000 0.000
H: 0.750 0.125 0.875
H: 0.875 0.250 0.625
H: 0.625 0.875 0.250
H: 0.125 0.750 0.375
H: 0.125 0.375 0.250
H: 0.500 0.500 0.500
Al: 0.750 0.375 0.125
Al: 0.875 0.125 0.250
Al: 0.625 0.375 0.750
Al: 0.375 0.625 0.250
Al: 0.750 0.875 0.625
Al: 0.875 0.750 0.125
Al: 0.625 0.250 0.375
Al: 0.375 0.750 0.625
Al: 0.125 0.875 0.750
Al: 0.250 0.125 0.375
Al: 0.125 0.250 0.875
Al: 0.250 0.625 0.875


Entry 5:
## Er3Al2Ni6H7 (PBE)

Data for a relaxed Er3Al2Ni6H7 crystal.

* space-group type: Im-3m
* VASP energy: -4.8843 eV per atom
* theoretical density: 8.1 g/cm³

Unit cell a=7.880 b=7.880 c=7.880 alpha=109.47 beta=109.47 gamma=109.47
Fractional coordinates of all 36 atoms:
H: 0.500 0.750 0.250
H: 0.750 0.500 0.250
H: 0.000 0.753 0.000
H: 0.247 0.247 0.247
H: 0.753 0.753 0.753
H: 0.000 0.247 0.000
H: 0.247 0.000 0.000
H: 0.753 0.000 0.000
H: 0.250 0.500 0.750
H: 0.000 0.000 0.753
H: 0.500 0.250 0.750
H: 0.250 0.750 0.500
H: 0.750 0.250 0.500
H: 0.000 0.000 0.247
Ni: 0.000 0.667 0.333
Ni: 0.333 0.333 0.666
Ni: 0.000 0.333 0.667
Ni: 0.333 0.000 0.667
Ni: 0.667 0.000 0.333
Ni: 0.667 0.334 0.667
Ni: 0.333 0.666 0.333
Ni: 0.334 0.667 0.667
Ni: 0.667 0.333 0.000
Ni: 0.333 0.667 0.000
Ni: 0.667 0.667 0.334
Ni: 0.666 0.333 0.333
Al: 0.500 0.000 0.000
Al: 0.500 0.500 0.500
Al: 0.000 0.000 0.500
Al: 0.000 0.500 0.000
Er: 0.281 0.000 0.281
Er: 0.719 0.000 0.719
Er: 0.000 0.281 0.281
Er: 0.000 0.719 0.719
Er: 0.719 0.719 0.000
Er: 0.281 0.281 0.000


Entry 6:
## ErAlH2O4 (PBE)

Data for a relaxed ErAlH2O4 crystal.

* space-group type: I222
* VASP energy: -6.6367 eV per atom
* theoretical density: 6.0 g/cm³

Unit cell a=4.466 b=4.591 c=4.591 alpha=72.49 beta=60.90 gamma=60.90
Fractional coordinates of all 8 atoms:
O: 0.962 0.447 0.179
O: 0.412 0.179 0.447
O: 0.038 0.821 0.553
O: 0.588 0.553 0.821
H: 0.818 0.682 0.682
H: 0.182 0.318 0.318
Al: 0.500 0.500 0.500
Er: 0.000 0.000 0.000


Entry 7:
## ErHfAl4 (PBE)

Data for a relaxed ErHfAl4 crystal.

* space-group type: F-43m
* energy of formation from the pure elements: -0.455 eV per atom
* theoretical density: 6.8 g/cm³

Unit cell a=5.399 b=5.399 c=5.399 alpha=60.00 beta=60.00 gamma=60.00
Fractional coordinates of all 6 atoms:
Er: 0.250 0.250 0.250
Al: 0.124 0.625 0.625
Al: 0.625 0.625 0.124
Al: 0.625 0.124 0.625
Al: 0.625 0.625 0.625
Hf: 0.000 0.000 0.000


Entry 8:
## ErHfAl6 (PBE)

Data for a relaxed ErHfAl6 crystal.

* space-group type: P4/mmm
* energy of formation from the pure elements: -0.393 eV per atom
* theoretical density: 5.9 g/cm³

Unit cell a=4.159 b=4.159 c=8.330 alpha=90.00 beta=90.00 gamma=90.00
Fractional coordinates of all 8 atoms:
Al: 0.500 0.500 0.500
Al: 0.000 0.500 0.742
Al: 0.000 0.500 0.258
Al: 0.500 0.000 0.742
Al: 0.500 0.000 0.258
Al: 0.500 0.500 0.000
Er: 0.000 0.000 0.000
Hf: 0.000 0.000 0.500


Entry 9:
## ErHfAlHg (PBE)

Data for a relaxed ErHfAlHg crystal.

* space-group type: F-43m
* energy of formation from the pure elements: -0.191 eV per atom
* theoretical density: 10.9 g/cm³

Unit cell a=4.985 b=4.985 c=4.985 alpha=60.00 beta=60.00 gamma=60.00
Fractional coordinates of all 4 atoms:
Al: 0.500 0.500 0.500
Hg: 0.000 0.000 0.000
Hf: 0.250 0.250 0.250
Er: 0.750 0.750 0.750


Entry 10:
## LiErHfAl (PBE)

Data for a relaxed LiErHfAl crystal.

* space-group type: F-43m
* energy of formation from the pure elements: -0.083 eV per atom
* theoretical density: 7.6 g/cm³

Unit cell a=4.890 b=4.890 c=4.890 alpha=60.00 beta=60.00 gamma=60.00
Fractional coordinates of all 4 atoms:
Al: 0.500 0.500 0.500
Li: 0.000 0.000 0.000
Er: 0.750 0.750 0.750
Hf: 0.250 0.250 0.250


Entry 11:
## Er2HfAl2Pd5 (PBE)

Data for a relaxed Er2HfAl2Pd5 crystal.

* space-group type: P4/mbm
* energy of formation from the pure elements: -0.838 eV per atom
* theoretical density: 10.0 g/cm³

Unit cell a=3.620 b=10.064 c=10.064 alpha=90.00 beta=90.00 gamma=90.00
Fractional coordinates of all 20 atoms:
Pd: 0.500 0.441 0.294
Pd: 0.500 0.206 0.059
Pd: 0.500 0.941 0.206
Pd: 0.500 0.794 0.941
Pd: 0.500 0.294 0.559
Pd: 0.500 0.059 0.794
Pd: 0.500 0.500 0.000
Pd: 0.500 0.559 0.706
Pd: 0.500 0.000 0.500
Pd: 0.500 0.706 0.441
Er: 0.000 0.175 0.325
Er: 0.000 0.325 0.825
Er: 0.000 0.825 0.675
Er: 0.000 0.675 0.175
Al: 0.000 0.877 0.377
Al: 0.000 0.623 0.877
Al: 0.000 0.377 0.123
Al: 0.000 0.123 0.623
Hf: 0.000 0.000 0.000
Hf: 0.000 0.500 0.500


Entry 12:
## ErHfAlRh (PBE)

Data for a relaxed ErHfAlRh crystal.

* space-group type: F-43m
* energy of formation from the pure elements: -0.484 eV per atom
* theoretical density: 10.0 g/cm³

Unit cell a=4.816 b=4.816 c=4.816 alpha=60.00 beta=60.00 gamma=60.00
Fractional coordinates of all 4 atoms:
Hf: 0.000 0.000 0.000
Al: 0.750 0.750 0.750
Rh: 0.250 0.250 0.250
Er: 0.500 0.500 0.500


Entry 13:
## ErHfScAl (PBE)

Data for a relaxed ErHfScAl crystal.

* space-group type: F-43m
* energy of formation from the pure elements: -0.029 eV per atom
* theoretical density: 7.7 g/cm³

Unit cell a=5.022 b=5.022 c=5.022 alpha=60.00 beta=60.00 gamma=60.00
Last column: magnetic moment on the atom in μB.
Fractional coordinates of all 4 atoms:
Sc: 0.750 0.750 0.750  0.05
Er: 0.500 0.500 0.500  0.03
Hf: 0.000 0.000 0.000  0.06
Al: 0.250 0.250 0.250  0.00


Entry 14:
## ErHfTiAl (PBE)

Data for a relaxed ErHfTiAl crystal.

* space-group type: F-43m
* energy of formation from the pure elements: -0.047 eV per atom
* theoretical density: 8.2 g/cm³

Unit cell a=4.939 b=4.939 c=4.939 alpha=60.00 beta=60.00 gamma=60.00
Last column: magnetic moment on the atom in μB.
Fractional coordinates of all 4 atoms:
Hf: 0.750 0.750 0.750  0.46
Er: 0.250 0.250 0.250  0.35
Ti: 0.000 0.000 0.000  1.47
Al: 0.500 0.500 0.500  -0.02


Entry 15:
## ErHfAlZn (PBE)

Data for a relaxed ErHfAlZn crystal.

* space-group type: F-43m
* energy of formation from the pure elements: -0.257 eV per atom
* theoretical density: 9.0 g/cm³

Unit cell a=4.853 b=4.853 c=4.853 alpha=60.00 beta=60.00 gamma=60.00
Fractional coordinates of all 4 atoms:
Al: 0.500 0.500 0.500
Er: 0.750 0.750 0.750
Hf: 0.250 0.250 0.250
Zn: 0.000 0.000 0.000


Entry 16:
## Er8Al2Hg (PBE)

Data for a relaxed Er8Al2Hg crystal.

* space-group type: C2/m
* energy of formation from the pure elements: -0.189 eV per atom
* theoretical density: 8.7 g/cm³

Unit cell a=5.029 b=6.942 c=9.288 alpha=103.67 beta=105.71 gamma=90.00
Fractional coordinates of all 11 atoms:
Er: 0.976 0.242 0.953
Er: 0.798 0.703 0.597
Er: 0.663 0.957 0.326
Er: 0.337 0.043 0.674
Er: 0.405 0.535 0.810
Er: 0.595 0.465 0.190
Er: 0.024 0.758 0.047
Er: 0.202 0.297 0.403
Al: 0.190 0.724 0.381
Al: 0.810 0.276 0.619
Hg: 0.500 0.000 0.000